(1)
YEr3O6 | PBE-GGA | relaxed

Properties
The value obtained for the total energy is -8.571 eV/atom. The uncorrected formation energy comes out at -3455 kJ/mol of formula units. As for the magnetization: 0.00 μB per atom.

```
data_YEr3O6
_symmetry_space_group_name_H-M 'R -3'
_symmetry_Int_Tables_number 148
_symmetry_space_group_name_Hall '-R 3'
_cell_length_a 9.5640
_cell_length_b 9.5640
_cell_length_c 11.2787
_cell_angle_alpha 90.00
_cell_angle_beta 90.00
_cell_angle_gamma 120.00
loop_
_atom_site_label
_atom_site_type_symbol
_atom_site_fract_x
_atom_site_fract_y
_atom_site_fract_z
Y1 Y 0.0000 0.0000 0.0000
Y2 Y 0.0000 0.0000 0.5000
Er1 Er 0.0388 0.7735 0.2099
O1 O 0.0252 0.8051 0.4023
O2 O 0.0281 0.8399 0.8682
```

(2)
YEr2O | PBE-GGA | relaxed

Properties
The value obtained for the total energy is -5.957 eV/atom. The uncorrected formation energy comes out at -316 kJ/mol of formula units. As for the magnetization: 0.00 μB per atom. As for the offset from the most stable computed form: 538 meV/atom.

```
data_YEr2O
_symmetry_space_group_name_H-M 'P 4/m m m'
_symmetry_Int_Tables_number 123
_symmetry_space_group_name_Hall '-P 4 2'
_cell_length_a 3.181
_cell_length_b 3.181
_cell_length_c 8.616
_cell_angle_alpha 90.00
_cell_angle_beta 90.00
_cell_angle_gamma 90.00
loop_
_atom_site_label
_atom_site_type_symbol
_atom_site_fract_x
_atom_site_fract_y
_atom_site_fract_z
Y1 Y 0.000 0.000 0.000
Er1 Er 0.500 0.500 0.323
O1 O 0.000 0.000 0.500
```

(3)
YEr3O | PBE-GGA | relaxed

Properties
The value obtained for the total energy is -6.117 eV/atom. The uncorrected formation energy comes out at -528 kJ/mol of formula units. As for the magnetization: 0.00 μB per atom.

```
data_YEr3O
_symmetry_space_group_name_H-M 'P m -3 m'
_symmetry_Int_Tables_number 221
_symmetry_space_group_name_Hall '-P 4 2 3'
_cell_length_a 4.901
_cell_length_b 4.901
_cell_length_c 4.901
_cell_angle_alpha 90.00
_cell_angle_beta 90.00
_cell_angle_gamma 90.00
loop_
_atom_site_label
_atom_site_type_symbol
_atom_site_fract_x
_atom_site_fract_y
_atom_site_fract_z
Y1 Y 0.000 0.000 0.000
Er1 Er 0.000 0.500 0.500
O1 O 0.500 0.500 0.500
```

(4)
YEr2O | PBE-GGA | relaxed

Properties
The value obtained for the total energy is -6.495 eV/atom. The uncorrected formation energy comes out at -524 kJ/mol of formula units. As for the magnetization: 0.02 μB per atom. As for the offset from the most stable computed form: 0 meV/atom.

```
data_YEr2O
_symmetry_space_group_name_H-M 'R -3 m'
_symmetry_Int_Tables_number 166
_symmetry_space_group_name_Hall '-R 3 2"'
_cell_length_a 3.4983
_cell_length_b 3.4983
_cell_length_c 25.8312
_cell_angle_alpha 90.00
_cell_angle_beta 90.00
_cell_angle_gamma 120.00
loop_
_atom_site_label
_atom_site_type_symbol
_atom_site_fract_x
_atom_site_fract_y
_atom_site_fract_z
Y1 Y 0.0000 0.0000 0.0000
Er1 Er 0.0000 0.0000 0.2189
O1 O 0.0000 0.0000 0.5000
```

(5)
YEr2O4 | PBE-GGA | relaxed

Properties
The value obtained for the total energy is -8.326 eV/atom. The uncorrected formation energy comes out at -2206 kJ/mol of formula units. As for the magnetization: 0.00 μB per atom.

```
data_YEr2O4
_symmetry_space_group_name_H-M 'P b a m'
_symmetry_Int_Tables_number 55
_symmetry_space_group_name_Hall '-P 2 2ab'
_cell_length_a 5.837
_cell_length_b 9.960
_cell_length_c 3.372
_cell_angle_alpha 90.00
_cell_angle_beta 90.00
_cell_angle_gamma 90.00
loop_
_atom_site_label
_atom_site_type_symbol
_atom_site_fract_x
_atom_site_fract_y
_atom_site_fract_z
Y1 Y 0.000 0.000 0.000
Er1 Er 0.056 0.334 0.500
O1 O 0.155 0.786 0.000
O2 O 0.247 0.534 0.500
```

(6)
Er3ZnO6 | PBE-GGA | relaxed

Properties
The value obtained for the total energy is -7.388 eV/atom. The uncorrected formation energy comes out at -2814 kJ/mol of formula units. As for the magnetization: 0.10 μB per atom.

```
data_Er3ZnO6
_symmetry_space_group_name_H-M 'C m c 21'
_symmetry_Int_Tables_number 36
_symmetry_space_group_name_Hall 'C 2c -2'
_cell_length_a 8.856
_cell_length_b 10.992
_cell_length_c 5.421
_cell_angle_alpha 90.00
_cell_angle_beta 90.00
_cell_angle_gamma 90.00
loop_
_atom_site_label
_atom_site_type_symbol
_atom_site_fract_x
_atom_site_fract_y
_atom_site_fract_z
Er1 Er 0.000 0.104 0.000
Er2 Er 0.192 0.392 0.052
Zn1 Zn 0.000 0.309 0.575
O1 O 0.000 0.282 0.225
O2 O 0.000 0.469 0.756
O3 O 0.160 0.018 0.276
O4 O 0.164 0.234 0.775
```

(7)
Er2ZnO | PBE-GGA | relaxed

Properties
The value obtained for the total energy is -4.926 eV/atom. The uncorrected formation energy comes out at -419 kJ/mol of formula units. As for the magnetization: 0.00 μB per atom.

```
data_Er2ZnO
_symmetry_space_group_name_H-M 'R -3 m'
_symmetry_Int_Tables_number 166
_symmetry_space_group_name_Hall '-R 3 2"'
_cell_length_a 3.4073
_cell_length_b 3.4073
_cell_length_c 25.6835
_cell_angle_alpha 90.00
_cell_angle_beta 90.00
_cell_angle_gamma 120.00
loop_
_atom_site_label
_atom_site_type_symbol
_atom_site_fract_x
_atom_site_fract_y
_atom_site_fract_z
Er1 Er 0.0000 0.0000 0.1145
Zn1 Zn 0.0000 0.0000 0.0000
O1 O 0.0000 0.0000 0.5000
```

(8)
Er4Zn2O | PBE-GGA | relaxed

Properties
The value obtained for the total energy is -4.655 eV/atom. The uncorrected formation energy comes out at -658 kJ/mol of formula units. As for the magnetization: 0.00 μB per atom.

```
data_Er4Zn2O
_symmetry_space_group_name_H-M 'I 4/m m m'
_symmetry_Int_Tables_number 139
_symmetry_space_group_name_Hall '-I 4 2'
_cell_length_a 4.644
_cell_length_b 4.644
_cell_length_c 14.251
_cell_angle_alpha 90.00
_cell_angle_beta 90.00
_cell_angle_gamma 90.00
loop_
_atom_site_label
_atom_site_type_symbol
_atom_site_fract_x
_atom_site_fract_y
_atom_site_fract_z
Er1 Er 0.000 0.000 0.181
Er2 Er 0.000 0.500 0.000
Zn1 Zn 0.000 0.000 0.376
O1 O 0.000 0.000 0.000
```

(9)
Er4Zr3O12 | PBE-GGA | relaxed

Properties
The value obtained for the total energy is -8.965 eV/atom. The uncorrected formation energy comes out at -6459 kJ/mol of formula units. As for the magnetization: 0.00 μB per atom. As for the offset from the most stable computed form: 5 meV/atom.

```
data_Er4Zr3O12
_symmetry_space_group_name_H-M 'P -1'
_symmetry_Int_Tables_number 2
_symmetry_space_group_name_Hall '-P 1'
_cell_length_a 6.372
_cell_length_b 6.454
_cell_length_c 12.818
_cell_angle_alpha 99.37
_cell_angle_beta 99.32
_cell_angle_gamma 99.30
loop_
_atom_site_label
_atom_site_type_symbol
_atom_site_fract_x
_atom_site_fract_y
_atom_site_fract_z
Er1 Er 0.112 0.135 0.403
Er2 Er 0.191 0.391 0.682
Er3 Er 0.202 0.388 0.182
Er4 Er 0.359 0.692 0.947
Zr1 Zr 0.108 0.145 0.906
Zr2 Zr 0.352 0.674 0.446
Zr3 Zr 0.492 0.993 0.747
O1 O 0.066 0.829 0.962
O2 O 0.073 0.418 0.842
O3 O 0.087 0.819 0.462
O4 O 0.088 0.430 0.341
O5 O 0.179 0.058 0.714
O6 O 0.182 0.039 0.205
O7 O 0.316 0.411 0.031
O8 O 0.325 0.423 0.534
O9 O 0.423 0.692 0.291
O10 O 0.424 0.079 0.907
O11 O 0.427 0.681 0.780
O12 O 0.466 0.109 0.411
```

(10)
Er4Zr3O12 | PBE-GGA | relaxed

Properties
The value obtained for the total energy is -8.970 eV/atom. The uncorrected formation energy comes out at -6469 kJ/mol of formula units. As for the magnetization: 0.00 μB per atom. As for the offset from the most stable computed form: 0 meV/atom.

```
data_Er4Zr3O12
_symmetry_space_group_name_H-M 'P -1'
_symmetry_Int_Tables_number 2
_symmetry_space_group_name_Hall '-P 1'
_cell_length_a 6.333
_cell_length_b 6.382
_cell_length_c 6.559
_cell_angle_alpha 99.86
_cell_angle_beta 98.72
_cell_angle_gamma 99.43
loop_
_atom_site_label
_atom_site_type_symbol
_atom_site_fract_x
_atom_site_fract_y
_atom_site_fract_z
Er1 Er 0.113 0.302 0.135
Er2 Er 0.195 0.865 0.389
Zr1 Zr 0.348 0.396 0.670
Zr2 Zr 0.500 0.000 0.000
O1 O 0.084 0.187 0.432
O2 O 0.084 0.417 0.822
O3 O 0.183 0.932 0.060
O4 O 0.325 0.570 0.424
O5 O 0.420 0.083 0.691
O6 O 0.472 0.322 0.115
```

Which formula does entry 1 have? YEr3O6

uncorrected formation energy of number 2 (YEr2O)? -316 kJ/mol of formula units

What did the ninth record say?
Er4Zr3O12 | PBE-GGA | relaxed

Properties
The value obtained for the total energy is -8.965 eV/atom. The uncorrected formation energy comes out at -6459 kJ/mol of formula units. As for the magnetization: 0.00 μB per atom. As for the offset from the most stable computed form: 5 meV/atom.

```
data_Er4Zr3O12
_symmetry_space_group_name_H-M 'P -1'
_symmetry_Int_Tables_number 2
_symmetry_space_group_name_Hall '-P 1'
_cell_length_a 6.372
_cell_length_b 6.454
_cell_length_c 12.818
_cell_angle_alpha 99.37
_cell_angle_beta 99.32
_cell_angle_gamma 99.30
loop_
_atom_site_label
_atom_site_type_symbol
_atom_site_fract_x
_atom_site_fract_y
_atom_site_fract_z
Er1 Er 0.112 0.135 0.403
Er2 Er 0.191 0.391 0.682
Er3 Er 0.202 0.388 0.182
Er4 Er 0.359 0.692 0.947
Zr1 Zr 0.108 0.145 0.906
Zr2 Zr 0.352 0.674 0.446
Zr3 Zr 0.492 0.993 0.747
O1 O 0.066 0.829 0.962
O2 O 0.073 0.418 0.842
O3 O 0.087 0.819 0.462
O4 O 0.088 0.430 0.341
O5 O 0.179 0.058 0.714
O6 O 0.182 0.039 0.205
O7 O 0.316 0.411 0.031
O8 O 0.325 0.423 0.534
O9 O 0.423 0.692 0.291
O10 O 0.424 0.079 0.907
O11 O 0.427 0.681 0.780
O12 O 0.466 0.109 0.411
```